(1)
Compound: Cu2RhAu
Source: the Alexandria database
Functional: GGA-PBE
Structure: relaxed

Calculated values
calculated volume	14.1	A^3/atom
density of states at the Fermi level	0.743	states/eV per atom
total DFT energy (no corrections)	-4.653	eV per atom

abc: 4.3070 4.3070 3.0304
angles: 90.00 90.00 90.00
Element x y z (fractional)
1 Cu 0.0000 0.5000 0.0000
2 Cu 0.5000 0.0000 0.0000
3 Rh 0.0000 0.0000 0.5000
4 Au 0.5000 0.5000 0.5000

***

(2)
Compound: CrCuOs2
Source: the Alexandria database
Functional: GGA-PBE
Structure: relaxed

Calculated values
calculated volume	13.3	A^3/atom
density of states at the Fermi level	0.979	states/eV per atom
energy above the most stable polymorph in this dataset	159.7	meV per atom
total DFT energy (no corrections)	-8.727	eV per atom

abc: 3.8041 3.8041 3.6650
angles: 90.00 90.00 90.00
Element x y z (fractional)
1 Cr 0.0000 0.0000 0.0000
2 Cu 0.5000 0.5000 0.0000
3 Os 0.0000 0.5000 0.5000
4 Os 0.5000 0.0000 0.5000